[1]
Here is a relaxed structure of CuPt2Se from the Alexandria database. Energies are from PBE-GGA.

POSCAR file:
```
CuPt2Se
1.0
2.880 -3.684 0.000
2.880 3.684 0.000
0.000 0.000 2.927
Cu Pt Se
1 2 1
direct
0.000 0.000 0.000
0.000 0.500 0.500
0.500 0.000 0.500
0.500 0.500 0.000
```

For the density of states at the Fermi level, the calculation gives 0.612 states/eV/atom. For the raw formation energy, the calculation gives 0.10 eV/atom. Its space-group type is No. 65.

[2]
Here is a relaxed structure of CuPt2Se from the Alexandria database. Energies are from PBE-GGA.

POSCAR file:
```
CuPt2Se
1.0
3.609 0.000 0.000
0.000 3.609 0.000
0.000 0.000 5.086
Cu Pt Se
1 2 1
direct
0.000 0.000 0.000
0.000 0.000 0.494
0.500 0.500 0.103
0.500 0.500 0.599
```

For the density of states at the Fermi level, the calculation gives 0.602 states/eV/atom. For the raw formation energy, the calculation gives 0.08 eV/atom. Its space-group type is No. 99.

[3]
Here is a relaxed structure of CuPt2Se from the Alexandria database. Energies are from PBE-GGA.

POSCAR file:
```
CuPt2Se
1.0
2.857 0.000 0.000
0.000 2.857 0.000
0.000 0.000 7.722
Cu Pt Se
1 2 1
direct
0.000 0.000 0.000
0.000 0.000 0.487
0.500 0.500 0.227
0.500 0.500 0.741
```

For the density of states at the Fermi level, the calculation gives 0.854 states/eV/atom. For the raw formation energy, the calculation gives 0.15 eV/atom. Its space-group type is No. 99.

[4]
Here is a relaxed structure of Cu3PtSe from the Alexandria database. Energies are from PBE-GGA.

POSCAR file:
```
Cu3PtSe
1.0
4.447 0.000 0.000
0.000 4.447 0.000
0.000 0.000 4.447
Cu Pt Se
3 1 1
direct
0.000 0.000 0.500
0.000 0.500 0.000
0.500 0.000 0.000
0.500 0.500 0.500
0.000 0.000 0.000
```

For the density of states at the Fermi level, the calculation gives 0.797 states/eV/atom. For the raw formation energy, the calculation gives 0.59 eV/atom. Its space-group type is No. 221. The value obtained for the energy relative to the lowest polymorph listed for this composition is 0.000 eV per atom.

[5]
Here is a relaxed structure of Cu2Pt2Se from the Alexandria database. Energies are from PBE-GGA.

POSCAR file:
```
Cu2Pt2Se
1.0
7.455 0.000 0.000
0.000 7.455 0.000
0.000 0.000 2.793
Cu Pt Se
4 4 2
direct
0.120 0.380 0.000
0.380 0.880 0.000
0.620 0.120 0.000
0.880 0.620 0.000
0.176 0.676 0.500
0.324 0.176 0.500
0.676 0.824 0.500
0.824 0.324 0.500
0.000 0.000 0.500
0.500 0.500 0.500
```

For the density of states at the Fermi level, the calculation gives 0.691 states/eV/atom. For the raw formation energy, the calculation gives 0.06 eV/atom. Its space-group type is No. 127. The value obtained for the energy relative to the lowest polymorph listed for this composition is 0.000 eV per atom.

[6]
Here is a relaxed structure of CuPt2Se from the Alexandria database. Energies are from PBE-GGA.

POSCAR file:
```
CuPt2Se
1.0
1.408 -2.446 0.000
1.408 2.446 0.000
0.000 0.000 9.188
Cu Pt Se
1 2 1
direct
0.000 0.000 0.000
0.500 0.500 0.236
0.500 0.500 0.764
0.000 0.000 0.500
```

For the density of states at the Fermi level, the calculation gives 0.804 states/eV/atom. For the raw formation energy, the calculation gives 0.17 eV/atom. Its space-group type is No. 65.

[7]
Here is a relaxed structure of CuPt2Se from the Alexandria database. Energies are from PBE-GGA.

POSCAR file:
```
CuPt2Se
1.0
2.762 -4.751 0.000
2.762 4.751 0.000
-1.429 0.000 2.419
Cu Pt Se
1 2 1
direct
0.000 0.000 0.000
0.000 0.500 0.500
0.500 0.000 0.500
0.500 0.500 0.000
```

For the density of states at the Fermi level, the calculation gives 0.813 states/eV/atom. For the raw formation energy, the calculation gives 0.13 eV/atom. Its space-group type is No. 12.

[8]
Here is a relaxed structure of CuPt2Se from the Alexandria database. Energies are from PBE-GGA.

POSCAR file:
```
CuPt2Se
1.0
4.945 -1.507 0.000
4.945 1.507 0.000
-1.632 0.000 4.212
Cu Pt Se
1 2 1
direct
0.000 0.000 0.000
0.518 0.518 0.510
0.760 0.760 0.199
0.244 0.244 0.694
```

For the density of states at the Fermi level, the calculation gives 0.520 states/eV/atom. For the raw formation energy, the calculation gives 0.08 eV/atom. Its space-group type is No. 8.

[9]
Here is a relaxed structure of CuPt2Se from the Alexandria database. Energies are from PBE-GGA.

POSCAR file:
```
CuPt2Se
1.0
4.621 0.000 0.000
0.000 4.621 0.000
0.000 0.000 2.916
Cu Pt Se
1 2 1
direct
0.000 0.000 0.000
0.000 0.500 0.500
0.500 0.000 0.500
0.500 0.500 0.000
```

For the density of states at the Fermi level, the calculation gives 0.478 states/eV/atom. For the raw formation energy, the calculation gives 0.10 eV/atom. Its space-group type is No. 123.

[10]
Here is a relaxed structure of CuPt2Se from the Alexandria database. Energies are from PBE-GGA.

POSCAR file:
```
CuPt2Se
1.0
1.490 0.860 8.202
-1.490 0.860 8.202
0.000 -1.720 8.202
Cu Pt Se
1 2 1
direct
0.000 0.000 0.000
0.505 0.505 0.505
0.747 0.747 0.747
0.254 0.254 0.254
```

For the density of states at the Fermi level, the calculation gives 0.943 states/eV/atom. For the raw formation energy, the calculation gives 0.13 eV/atom. Its space-group type is No. 160.

[11]
Here is a relaxed structure of CuPt2Se from the Alexandria database. Energies are from PBE-GGA.

POSCAR file:
```
CuPt2Se
1.0
1.462 0.844 8.443
-1.462 0.844 8.443
0.000 -1.688 8.443
Cu Pt Se
1 2 1
direct
0.000 0.000 0.000
0.253 0.253 0.253
0.747 0.747 0.747
0.500 0.500 0.500
```

For the density of states at the Fermi level, the calculation gives 0.551 states/eV/atom. For the raw formation energy, the calculation gives 0.08 eV/atom. Its space-group type is No. 166.

[12]
Here is a relaxed structure of Cu2Pt2Se from the Alexandria database. Energies are from PBE-GGA.

POSCAR file:
```
Cu2Pt2Se
1.0
7.487 0.000 0.000
0.000 7.487 0.000
0.000 0.000 2.776
Cu Pt Se
4 4 2
direct
0.161 0.339 0.000
0.339 0.839 0.000
0.661 0.161 0.000
0.839 0.661 0.000
0.135 0.635 0.500
0.365 0.135 0.500
0.635 0.865 0.500
0.865 0.365 0.500
0.000 0.000 0.000
0.500 0.500 0.000
```

For the density of states at the Fermi level, the calculation gives 0.858 states/eV/atom. For the raw formation energy, the calculation gives 0.14 eV/atom. Its space-group type is No. 127. The value obtained for the energy relative to the lowest polymorph listed for this composition is 0.080 eV per atom.

[13]
Here is a relaxed structure of Cu2PtSe2 from the Alexandria database. Energies are from PBE-GGA.

POSCAR file:
```
Cu2PtSe2
1.0
-2.458 2.458 4.074
2.458 -2.458 4.074
2.458 2.458 -4.074
Cu Pt Se
2 1 2
direct
0.250 0.750 0.500
0.750 0.250 0.500
0.000 0.000 0.000
0.294 0.294 0.000
0.706 0.706 0.000
```

For the density of states at the Fermi level, the calculation gives 0.882 states/eV/atom. For the raw formation energy, the calculation gives 0.16 eV/atom. Its space-group type is No. 139.

[14]
Here is a relaxed structure of CuPt2Se from the Alexandria database. Energies are from PBE-GGA.

POSCAR file:
```
CuPt2Se
1.0
-2.030 2.030 3.764
2.030 -2.030 3.764
2.030 2.030 -3.764
Cu Pt Se
1 2 1
direct
0.000 0.000 0.000
0.250 0.750 0.500
0.750 0.250 0.500
0.500 0.500 0.000
```

For the density of states at the Fermi level, the calculation gives 0.827 states/eV/atom. For the raw formation energy, the calculation gives 0.14 eV/atom. Its space-group type is No. 139.

no.,density (g/cm³)
1,14.2
2,13.3
3,14.0
4,8.8
5,12.8
6,14.0
7,13.9
8,14.1
9,14.2
10,14.0
11,14.2
12,12.7
13,8.1
14,14.3